(1)
Material: LiAg8Au2
Method: DFT, PBE
State: relaxed

Properties
- size of the total moment (μB/f.u.) = 0.00
- DFT formation energy (meV/atom) = -65
- E above lowest polymorph (meV per atom) = 0

abc: 14.859 4.165 6.479
angles: 90.00 104.81 90.00
Space group C2/m (No. 12)
One atom of each set of equivalent atoms:
Li1 0.000 0.000 0.000 x2
Ag1 0.046 0.500 0.730 x4
Ag2 0.089 0.000 0.451 x4
Ag3 0.134 0.500 0.179 x4
Ag4 0.181 0.000 0.910 x4
Au1 0.227 0.500 0.637 x4

---

(2)
Material: Li3AgAu
Method: DFT, PBE
State: relaxed

Properties
- size of the total moment (μB/f.u.) = 0.00
- DFT formation energy (meV/atom) = -354
- E above lowest polymorph (meV per atom) = 0

abc: 4.739 4.766 7.586
angles: 72.19 85.94 76.52
Space group P-1 (No. 2)
One atom of each set of equivalent atoms:
Li1 0.250 0.052 0.397 x2
Li2 0.250 0.248 0.002 x2
Li3 0.250 0.444 0.611 x2
Ag1 0.250 0.649 0.203 x2
Au1 0.250 0.857 0.786 x2